# GGA-PBE SiW2, optimized geometry
# * uncorrected energy: -10.244 eV/atom
# * polymorph energy (0 for the lowest one): 0.350 eV/atom
# * formation energy from raw total energies: 0.1994 eV per atom
data_SiW2
_cell_length_a 2.7062
_cell_length_b 14.1165
_cell_length_c 4.8255
_cell_angle_alpha 90.00
_cell_angle_beta 90.00
_cell_angle_gamma 90.00
_symmetry_space_group_name_H-M 'C m c m'
_symmetry_Int_Tables_number 63
_symmetry_space_group_name_Hall '-C 2c 2'
loop_
_atom_site_label
_atom_site_type_symbol
_atom_site_fract_x
_atom_site_fract_y
_atom_site_fract_z
Si1 Si 0.0000 0.2180 0.2500
W1 W 0.0000 0.1235 0.7500
W2 W 0.0000 0.4436 0.7500

---

# GGA-PBE KZnTe2, optimized geometry
# * uncorrected energy: -2.316 eV/atom
# * formation energy from raw total energies: -0.1526 eV per atom
data_KZnTe2
_cell_length_a 6.6975
_cell_length_b 9.5635
_cell_length_c 3.6369
_cell_angle_alpha 90.00
_cell_angle_beta 90.00
_cell_angle_gamma 90.00
_symmetry_space_group_name_H-M 'C m m m'
_symmetry_Int_Tables_number 65
_symmetry_space_group_name_Hall '-C 2 2'
loop_
_atom_site_label
_atom_site_type_symbol
_atom_site_fract_x
_atom_site_fract_y
_atom_site_fract_z
K1 K 0.0000 0.0000 0.0000
Zn1 Zn 0.0000 0.5000 0.0000
Te1 Te 0.2500 0.2500 0.5000

---

# GGA-PBE TbScCd4, optimized geometry
# * uncorrected energy: -2.639 eV/atom
# * polymorph energy (0 for the lowest one): 0.068 eV/atom
data_TbScCd4
_cell_length_a 8.2452
_cell_length_b 8.2452
_cell_length_c 8.2452
_cell_angle_alpha 90.00
_cell_angle_beta 90.00
_cell_angle_gamma 90.00
_symmetry_space_group_name_H-M 'F -4 3 m'
_symmetry_Int_Tables_number 216
_symmetry_space_group_name_Hall 'F -4 2 3'
loop_
_atom_site_label
_atom_site_type_symbol
_atom_site_fract_x
_atom_site_fract_y
_atom_site_fract_z
Tb1 Tb 0.0000 0.0000 0.0000
Sc1 Sc 0.2500 0.2500 0.2500
Cd1 Cd 0.1249 0.1249 0.6249

---

Which of these has the lowest uncorrected energy?
SiW2

---

Which value of uncorrected energy does entry 1 give?
-10.244 eV/atom

---

Which of these has the lowest uncorrected energy?
SiW2